No. 1
The following is a DFT calculation (PBE) of crystalline Sm2DyPu at its relaxed geometry.

Cell lengths 3.536, 3.536, 10.122 Å; angles 90.00, 90.00, 90.00 degrees
Each line ends with the local moment (μB).
Fractional positions:
Dy 0.500 0.500 0.500  -0.12
Sm 0.000 0.000 0.755  0.05
Sm 0.000 0.000 0.245  0.05
Pu 0.500 0.500 0.000  5.62

Output
- Uncorrected energy: -0.2567 Ha/atom
- Symmetry: P4/mmm
- DFT formation energy: 0.434 eV/f.u.
- Offset from the most stable computed form: 0 meV/atom
- V: 126.6 Å³ per cell

***

No. 2
The following is a DFT calculation (PBE) of crystalline Sm12Dy3Pu at its relaxed geometry.

Cell lengths 5.091, 5.091, 20.347 Å; angles 90.00, 90.00, 90.00 degrees
Each line ends with the local moment (μB).
Fractional positions:
Sm 0.500 0.500 0.000  0.08
Sm 0.500 0.500 0.249  -0.01
Sm 0.500 0.500 0.500  -0.01
Sm 0.500 0.500 0.751  -0.01
Sm 0.500 0.000 0.122  0.03
Sm 0.500 0.000 0.374  0.01
Sm 0.500 0.000 0.626  0.01
Sm 0.500 0.000 0.878  0.03
Sm 0.000 0.500 0.122  0.03
Sm 0.000 0.500 0.374  0.01
Sm 0.000 0.500 0.626  0.01
Sm 0.000 0.500 0.878  0.03
Dy 0.000 0.000 0.249  -0.04
Dy 0.000 0.000 0.500  -0.03
Dy 0.000 0.000 0.751  -0.04
Pu 0.000 0.000 0.000  5.57

Output
- Uncorrected energy: -0.1931 Ha/atom
- Symmetry: P4/mmm
- DFT formation energy: 0.696 eV/f.u.
- V: 527.4 Å³ per cell

***

No. 3
The following is a DFT calculation (PBE) of crystalline Sm4Dy5Pu at its relaxed geometry.

Cell lengths 5.675, 11.463, 10.224 Å; angles 90.00, 90.00, 90.00 degrees
Each line ends with the local moment (μB).
Fractional positions:
Sm 0.750 0.183 0.000  0.02
Sm 0.751 0.000 0.282  -0.04
Sm 0.751 0.000 0.718  -0.04
Sm 0.750 0.817 0.000  0.02
Sm 0.250 0.683 0.500  0.02
Sm 0.249 0.500 0.218  -0.04
Sm 0.249 0.500 0.782  -0.04
Sm 0.250 0.317 0.500  0.02
Dy 0.750 0.309 0.306  0.11
Dy 0.750 0.309 0.694  0.11
Dy 0.251 0.000 0.500  -0.16
Dy 0.750 0.691 0.306  0.11
Dy 0.750 0.691 0.694  0.11
Dy 0.250 0.809 0.194  0.11
Dy 0.250 0.809 0.806  0.11
Dy 0.749 0.500 0.000  -0.16
Dy 0.250 0.191 0.806  0.11
Dy 0.250 0.191 0.194  0.11
Pu 0.250 0.000 0.000  5.62
Pu 0.750 0.500 0.500  5.62

Output
- Uncorrected energy: -0.1974 Ha/atom
- Symmetry: Pmmn
- DFT formation energy: 2.495 eV/f.u.
- V: 665.1 Å³ per cell

***

No. 4
The following is a DFT calculation (PBE) of crystalline Tb3Sm6Dy2Pu at its relaxed geometry.

Cell lengths 6.212, 6.212, 11.812 Å; angles 95.05, 95.05, 120.03 degrees
Each line ends with the local moment (μB).
Fractional positions:
Tb 0.167 0.833 0.500  -0.03
Tb 0.833 0.167 0.500  -0.03
Tb 0.500 0.500 0.500  -0.04
Sm 0.918 0.588 0.752  0.03
Sm 0.753 0.753 0.248  0.02
Sm 0.082 0.412 0.248  0.03
Sm 0.588 0.918 0.752  0.03
Sm 0.247 0.247 0.752  0.02
Sm 0.412 0.082 0.248  0.03
Dy 0.333 0.667 0.000  0.14
Dy 0.667 0.333 0.000  0.14
Pu 0.000 0.000 0.000  5.60

Output
- Uncorrected energy: -0.1997 Ha/atom
- Symmetry: C2/m
- DFT formation energy: 0.545 eV/f.u.
- V: 388.4 Å³ per cell

***

No. 5
The following is a DFT calculation (PBE) of crystalline Tb6Sm2Dy3Pu at its relaxed geometry.

Cell lengths 6.161, 6.161, 11.756 Å; angles 95.04, 95.04, 120.05 degrees
Each line ends with the local moment (μB).
Fractional positions:
Tb 0.917 0.587 0.750  0.03
Tb 0.754 0.754 0.250  0.03
Tb 0.083 0.413 0.250  0.03
Tb 0.587 0.917 0.750  0.03
Tb 0.246 0.246 0.750  0.03
Tb 0.413 0.083 0.250  0.03
Sm 0.333 0.667 0.000  0.05
Sm 0.667 0.333 0.000  0.05
Dy 0.167 0.833 0.500  -0.03
Dy 0.833 0.167 0.500  -0.03
Dy 0.500 0.500 0.500  -0.04
Pu 0.000 0.000 0.000  5.58

Output
- Uncorrected energy: -0.1985 Ha/atom
- Symmetry: C2/m
- DFT formation energy: 0.549 eV/f.u.
- V: 380.3 Å³ per cell

***

No. 6
The following is a DFT calculation (PBE) of crystalline TbSmDyPu at its relaxed geometry.

Cell lengths 5.620, 5.620, 5.620 Å; angles 60.00, 60.00, 60.00 degrees
Each line ends with the local moment (μB).
Fractional positions:
Dy 0.500 0.500 0.500  0.33
Tb 0.750 0.750 0.750  0.33
Sm 0.250 0.250 0.250  0.25
Pu 0.000 0.000 0.000  5.63

Output
- Uncorrected energy: -0.2523 Ha/atom
- Symmetry: F-43m
- DFT formation energy: 0.827 eV/f.u.
- V: 125.5 Å³ per cell